Below is a relaxed KTaB2O6 crystal, with properties calculated at the PBE level.

Unit cell a=6.513 b=6.513 c=6.513 alpha=46.24 beta=46.24 gamma=46.24
Sites, in units of the cell vectors:
K  0.000  0.000  0.000
Ta  0.500  0.500  0.500
B  0.232  0.232  0.232
B  0.768  0.768  0.768
O  0.073  0.664  0.564
O  0.336  0.436  0.927
O  0.436  0.927  0.336
O  0.564  0.073  0.664
O  0.664  0.564  0.073
O  0.927  0.336  0.436

Computed properties:
space-group type = No. 148
V = 13.2 Å³/atom
electronic total energy = -81.80 eV per cell
crystal system = trigonal
energy relative to the elements, uncorrected = -248.5 kJ/mol of atoms

=====

Below is a relaxed K2TbBO4 crystal, with properties calculated at the PBE level.

Unit cell a=12.915 b=11.879 c=6.220 alpha=84.95 beta=66.38 gamma=28.67
Sites, in units of the cell vectors:
K  0.060  0.060  0.690
K  0.310  0.310  0.940
K  0.690  0.690  0.060
K  0.940  0.940  0.310
Tb  0.125  0.125  0.125
Tb  0.875  0.875  0.875
B  0.375  0.375  0.375
B  0.625  0.625  0.625
O  0.088  0.586  0.498
O  0.327  0.498  0.586
O  0.414  0.912  0.673
O  0.498  0.327  0.088
O  0.502  0.673  0.912
O  0.586  0.088  0.327
O  0.673  0.502  0.414
O  0.912  0.414  0.502

Computed properties:
space-group type = No. 70
V = 21.0 Å³/atom
electronic total energy = -99.23 eV per cell
crystal system = orthorhombic
energy relative to the elements, uncorrected = -196.3 kJ/mol of atoms

=====

Below is a relaxed KTcBO5 crystal, with properties calculated at the PBE level.

Unit cell a=5.429 b=5.429 c=7.257 alpha=106.01 beta=106.01 gamma=104.56
Sites, in units of the cell vectors:
K  0.165  0.835  0.750
K  0.835  0.165  0.250
Tc  0.500  0.500  0.000
Tc  0.500  0.500  0.500
B  0.192  0.808  0.250
B  0.808  0.192  0.750
O  0.106  0.276  0.888
O  0.212  0.630  0.374
O  0.276  0.106  0.388
O  0.370  0.788  0.126
O  0.445  0.555  0.750
O  0.555  0.445  0.250
O  0.630  0.212  0.874
O  0.724  0.894  0.612
O  0.788  0.370  0.626
O  0.894  0.724  0.112

Computed properties:
space-group type = No. 15
V = 11.6 Å³/atom
electronic total energy = -111.48 eV per cell
crystal system = monoclinic
energy relative to the elements, uncorrected = -154.5 kJ/mol of atoms

=====

Below is a relaxed KTc2BO8 crystal, with properties calculated at the PBE level.

Unit cell a=4.992 b=4.992 c=9.001 alpha=100.87 beta=100.87 gamma=76.43
Sites, in units of the cell vectors:
K  0.000  0.000  0.000
Tc  0.357  0.357  0.740
Tc  0.643  0.643  0.260
B  0.000  0.000  0.500
O  0.166  0.166  0.551
O  0.241  0.710  0.722
O  0.290  0.759  0.278
O  0.309  0.309  0.919
O  0.691  0.691  0.081
O  0.710  0.241  0.722
O  0.759  0.290  0.278
O  0.834  0.834  0.449

Computed properties:
space-group type = No. 12
V = 17.6 Å³/atom
electronic total energy = -85.13 eV per cell
crystal system = monoclinic
energy relative to the elements, uncorrected = -136.3 kJ/mol of atoms

=====

Below is a relaxed K2B2TeO6 crystal, with properties calculated at the PBE level.

Unit cell a=6.902 b=6.902 c=6.902 alpha=45.65 beta=45.65 gamma=45.65
Sites, in units of the cell vectors:
K  0.207  0.207  0.207
K  0.793  0.793  0.793
B  0.404  0.404  0.404
B  0.596  0.596  0.596
Te  0.000  0.000  0.000
O  0.257  0.257  0.706
O  0.257  0.706  0.257
O  0.294  0.743  0.743
O  0.706  0.257  0.257
O  0.743  0.294  0.743
O  0.743  0.743  0.294

Computed properties:
space-group type = No. 166
V = 13.9 Å³/atom
electronic total energy = -68.98 eV per cell
crystal system = trigonal
energy relative to the elements, uncorrected = -180.2 kJ/mol of atoms

=====

Below is a relaxed KTiBO4 crystal, with properties calculated at the PBE level.

Unit cell a=5.370 b=5.370 c=5.370 alpha=60.00 beta=60.00 gamma=60.00
Sites, in units of the cell vectors:
K  0.000  0.000  0.000
Ti  0.750  0.750  0.750
B  0.500  0.500  0.500
O  0.162  0.613  0.613
O  0.613  0.162  0.613
O  0.613  0.613  0.162
O  0.613  0.613  0.613

Computed properties:
space-group type = No. 216
V = 15.6 Å³/atom
electronic total energy = -53.36 eV per cell
crystal system = cubic
energy relative to the elements, uncorrected = -246.1 kJ/mol of atoms

=====

Below is a relaxed KTi3B4O12 crystal, with properties calculated at the PBE level.

Unit cell a=6.188 b=6.188 c=6.188 alpha=103.17 beta=103.17 gamma=103.17
Sites, in units of the cell vectors:
K  0.000  0.000  0.000
Ti  0.000  0.549  0.451
Ti  0.451  0.000  0.549
Ti  0.549  0.451  0.000
B  0.054  0.500  0.946
B  0.500  0.500  0.500
B  0.500  0.946  0.054
B  0.946  0.054  0.500
O  0.015  0.595  0.765
O  0.089  0.911  0.500
O  0.235  0.405  0.985
O  0.356  0.644  0.500
O  0.405  0.985  0.235
O  0.500  0.089  0.911
O  0.500  0.356  0.644
O  0.595  0.765  0.015
O  0.644  0.500  0.356
O  0.765  0.015  0.595
O  0.911  0.500  0.089
O  0.985  0.235  0.405

Computed properties:
space-group type = No. 155
V = 10.7 Å³/atom
electronic total energy = -163.34 eV per cell
crystal system = trigonal
energy relative to the elements, uncorrected = -252.6 kJ/mol of atoms

=====

Below is a relaxed KTl2B2O6 crystal, with properties calculated at the PBE level.

Unit cell a=5.447 b=5.657 c=6.604 alpha=70.87 beta=69.31 gamma=61.93
Sites, in units of the cell vectors:
K  0.000  0.000  0.000
Tl  0.276  0.323  0.280
Tl  0.724  0.677  0.720
B  0.401  0.319  0.744
B  0.599  0.681  0.256
O  0.188  0.342  0.657
O  0.344  0.907  0.259
O  0.346  0.527  0.844
O  0.654  0.473  0.156
O  0.656  0.093  0.741
O  0.812  0.658  0.343

Computed properties:
space-group type = No. 2
V = 15.0 Å³/atom
electronic total energy = -66.02 eV per cell
crystal system = triclinic
energy relative to the elements, uncorrected = -149.8 kJ/mol of atoms

=====

Below is a relaxed K2TlBO4 crystal, with properties calculated at the PBE level.

Unit cell a=12.242 b=11.202 c=6.189 alpha=84.24 beta=65.56 gamma=30.20
Sites, in units of the cell vectors:
K  0.060  0.060  0.690
K  0.310  0.310  0.940
K  0.690  0.690  0.060
K  0.940  0.940  0.310
Tl  0.125  0.125  0.125
Tl  0.875  0.875  0.875
B  0.375  0.375  0.375
B  0.625  0.625  0.625
O  0.088  0.585  0.499
O  0.328  0.499  0.585
O  0.415  0.912  0.672
O  0.499  0.328  0.088
O  0.501  0.672  0.912
O  0.585  0.088  0.328
O  0.672  0.501  0.415
O  0.912  0.415  0.501

Computed properties:
space-group type = No. 70
V = 20.1 Å³/atom
electronic total energy = -83.77 eV per cell
crystal system = orthorhombic
energy relative to the elements, uncorrected = -130.4 kJ/mol of atoms

=====

Below is a relaxed K2TlB2O6 crystal, with properties calculated at the PBE level.

Unit cell a=5.480 b=5.480 c=6.673 alpha=90.00 beta=90.00 gamma=120.00
Sites, in units of the cell vectors:
K  0.333  0.667  0.335
K  0.667  0.333  0.665
Tl  0.000  0.000  0.000
B  0.333  0.667  0.805
B  0.667  0.333  0.195
O  0.185  0.377  0.790
O  0.191  0.815  0.790
O  0.377  0.191  0.210
O  0.623  0.809  0.790
O  0.809  0.185  0.210
O  0.815  0.623  0.210

Computed properties:
space-group type = No. 147
V = 15.8 Å³/atom
electronic total energy = -66.18 eV per cell
crystal system = trigonal
energy relative to the elements, uncorrected = -162.4 kJ/mol of atoms

=====

Below is a relaxed K3TlB2O6 crystal, with properties calculated at the PBE level.

Unit cell a=5.542 b=5.542 c=6.960 alpha=90.00 beta=90.00 gamma=120.00
Sites, in units of the cell vectors:
K  0.000  0.000  0.000
K  0.333  0.667  0.742
K  0.667  0.333  0.258
Tl  0.000  0.000  0.500
B  0.333  0.667  0.301
B  0.667  0.333  0.699
O  0.188  0.376  0.293
O  0.188  0.812  0.293
O  0.376  0.188  0.707
O  0.624  0.812  0.293
O  0.812  0.188  0.707
O  0.812  0.624  0.707

Computed properties:
space-group type = No. 164
V = 15.4 Å³/atom
electronic total energy = -70.54 eV per cell
crystal system = trigonal
energy relative to the elements, uncorrected = -175.1 kJ/mol of atoms

=====

Below is a relaxed K2TmBO4 crystal, with properties calculated at the PBE level.

Unit cell a=12.595 b=11.511 c=6.212 alpha=85.00 beta=65.57 gamma=29.43
Sites, in units of the cell vectors:
K  0.058  0.058  0.692
K  0.308  0.308  0.942
K  0.692  0.692  0.058
K  0.942  0.942  0.308
Tm  0.125  0.125  0.125
Tm  0.875  0.875  0.875
B  0.375  0.375  0.375
B  0.625  0.625  0.625
O  0.083  0.590  0.505
O  0.323  0.505  0.590
O  0.410  0.917  0.677
O  0.495  0.677  0.917
O  0.505  0.323  0.083
O  0.590  0.083  0.323
O  0.677  0.495  0.410
O  0.917  0.410  0.495

Computed properties:
space-group type = No. 70
V = 19.9 Å³/atom
electronic total energy = -99.95 eV per cell
crystal system = orthorhombic
energy relative to the elements, uncorrected = -202.6 kJ/mol of atoms